(1)
Compound: Y2Al2Te
Source: the Alexandria database
Functional: GGA-PBEsol
Structure: optimized geometry

The uncorrected formation energy comes out at -461 meV/atom. The total DFT energy (no corrections) comes out at -5.532 eV/atom. As for the calculated volume: 26.2 Å³/atom.

The structure belongs to space group P4/mbm (No. 127); the cell edges are 7.787, 7.787 and 4.321 Å and the angles 90.00°, 90.00° and 90.00°. The distinct sites, in fractional coordinates, are Y at (0.167, 0.333, 0.000), Al at (0.123, 0.623, 0.500) and Te at (0.000, 0.000, 0.000).

(2)
Compound: YAlTe
Source: the Alexandria database
Functional: GGA-PBEsol
Structure: optimized geometry

The uncorrected formation energy comes out at -420 meV/atom. The total DFT energy (no corrections) comes out at -5.233 eV/atom. As for the calculated volume: 24.6 Å³/atom.

The structure belongs to space group P-6m2 (No. 187); the cell edges are 4.8319, 4.8319 and 3.6522 Å and the angles 90.00°, 90.00° and 120.00°. The distinct sites, in fractional coordinates, are Y at (0.0000, 0.0000, 0.0000), Al at (0.3333, 0.6667, 0.5000) and Te at (0.6667, 0.3333, 0.5000).

(3)
Compound: YAlTe2
Source: the Alexandria database
Functional: GGA-PBEsol
Structure: optimized geometry

The uncorrected formation energy comes out at -636 meV/atom. The total DFT energy (no corrections) comes out at -5.127 eV/atom. As for the calculated volume: 24.7 Å³/atom.

The structure belongs to space group P4/mmm (No. 123); the cell edges are 5.115, 5.115 and 3.772 Å and the angles 90.00°, 90.00° and 90.00°. The distinct sites, in fractional coordinates, are Y at (0.000, 0.000, 0.000), Al at (0.500, 0.500, 0.000) and Te at (0.000, 0.500, 0.500).

no.,calculated density (g cm⁻³)
1,4.56
2,5.48
3,6.24